(1)
Entry from Alexandria: crystalline Ca2PrEr at its relaxed geometry (PBE-GGA).

a b c (Å): 5.9016 5.9016 5.9016
angles (deg): 60.00 60.00 60.00
Last column: nearest neighbours and their distance in Å.
Positions (direct):
Er (0.5000, 0.5000, 0.5000)  8 Ca 3.61
Ca (0.7500, 0.7500, 0.7500)  4 Er 3.61, 4 Pr 3.61
Pr (0.0000, 0.0000, 0.0000)  8 Ca 3.61
Ca (0.2500, 0.2500, 0.2500)  4 Pr 3.61, 4 Er 3.61

Summary:
As for the crystal system: cubic. The calculation puts the total energy at -3.186 eV per atom. The calculation puts the total magnetization at 0.00 μB/cell. The excess energy over the best structure of this formula in the dataset is 62 meV/atom. The space group is Fm-3m, No. 225. The energy of formation comes out at 0.150 eV/atom.

***

(2)
Entry from Alexandria: crystalline Ca2PrEr at its relaxed geometry (PBE-GGA).

a b c (Å): 4.1545 4.1545 8.4281
angles (deg): 90.00 90.00 90.00
Last column: nearest neighbours and their distance in Å.
Positions (direct):
Ca (0.0000, 0.0000, 0.2413)  4 Er 3.57, 4 Pr 3.66
Er (0.5000, 0.5000, 0.0000)  8 Ca 3.57
Ca (0.0000, 0.0000, 0.7587)  4 Er 3.57, 4 Pr 3.66
Pr (0.5000, 0.5000, 0.5000)  8 Ca 3.66

Summary:
As for the crystal system: tetragonal. The calculation puts the total energy at -3.180 eV per atom. The calculation puts the total magnetization at 0.00 μB/cell. The excess energy over the best structure of this formula in the dataset is 68 meV/atom. The space group is P4/mmm, No. 123. The energy of formation comes out at 0.156 eV/atom.

***

Please write out number 2 again, unchanged.
Entry from Alexandria: crystalline Ca2PrEr at its relaxed geometry (PBE-GGA).

a b c (Å): 4.1545 4.1545 8.4281
angles (deg): 90.00 90.00 90.00
Last column: nearest neighbours and their distance in Å.
Positions (direct):
Ca (0.0000, 0.0000, 0.2413)  4 Er 3.57, 4 Pr 3.66
Er (0.5000, 0.5000, 0.0000)  8 Ca 3.57
Ca (0.0000, 0.0000, 0.7587)  4 Er 3.57, 4 Pr 3.66
Pr (0.5000, 0.5000, 0.5000)  8 Ca 3.66

Summary:
As for the crystal system: tetragonal. The calculation puts the total energy at -3.180 eV per atom. The calculation puts the total magnetization at 0.00 μB/cell. The excess energy over the best structure of this formula in the dataset is 68 meV/atom. The space group is P4/mmm, No. 123. The energy of formation comes out at 0.156 eV/atom.